Record 1
A relaxed structure of NiSn2. Source: OQMD, functional PBE-GGA.

abc: 7.670 7.670 7.670
angles: 60.00 60.00 60.00
Element x y z (fractional)
1 Ni 0.125 0.125 0.125
2 Ni 0.875 0.875 0.875
3 Sn 0.000 0.000 0.000
4 Sn 0.000 0.000 0.500
5 Sn 0.000 0.500 0.000
6 Sn 0.500 0.000 0.000

Values from the calculation:
Symmetry   Fd-3m (227)
E_tot   -4.072 eV per atom

=====

Record 2
A relaxed structure of Ni2Sn. Source: OQMD, functional PBE-GGA.

abc: 6.879 6.879 3.153
angles: 90.00 90.00 120.00
Element x y z (fractional)
1 Ni 0.000 0.286 0.000
2 Ni 0.000 0.622 0.500
3 Ni 0.286 0.000 0.000
4 Ni 0.378 0.378 0.500
5 Ni 0.622 0.000 0.500
6 Ni 0.714 0.714 0.000
7 Sn 0.000 0.000 0.500
8 Sn 0.333 0.667 0.000
9 Sn 0.667 0.333 0.000

Values from the calculation:
Symmetry   P-62m (189)
E_tot   -5.129 eV per atom